An optimized crystal structure of Mn2GeH, computed with PBE.

```
Mn2GeH
1.0
4.428 0.000 0.000
0.000 4.428 0.000
2.214 2.214 4.740
Mn H Ge
4 2 2
Cartesian
5.535 4.547 3.555 Mn
2.094 3.321 1.185 Mn
3.321 4.308 3.555 Mn
2.334 1.107 1.185 Mn
2.214 4.428 2.370 H
2.214 2.214 0.000 H
4.428 2.214 2.370 Ge
0.000 0.000 0.000 Ge
```

Summary:
- Excess energy over the best structure of this formula in the dataset: 0.4568 eV per atom
- Total moment: 0.67 μB per formula unit
- Crystal system: tetragonal